[1]
A relaxed structure of Cs2LiOs, computed with PBE.

Lattice parameters (Å, degrees): 12.9579 12.9579 12.9579 90.00 90.00 90.00
Closest atoms and distances in Å follow each position.
Space group Fd-3m (No. 227, origin choice 2)
One atom of each set of equivalent atoms:
Cs1 0.0000 0.0000 0.0000 x16  2 Os 2.81
Li1 0.1250 0.1250 0.6250 x8  12 Cs 5.37, 4 Li 5.61, 4 Os 5.61
Os1 0.1250 0.1250 0.1250 x8  4 Cs 2.81

Computed properties:
formation enthalpy at 0 K	1.742	eV per atom
offset from the most stable computed form	0.294	eV/atom
total magnetic moment	5.7	μB/cell
electronic total energy	-63.1	eV per cell

***

[2]
A relaxed structure of TbGdLu2, computed with PBE.

Lattice parameters (Å, degrees): 7.9214 7.9214 7.9214 90.00 90.00 90.00
Closest atoms and distances in Å follow each position.
Space group Fm-3m (No. 225)
One atom of each set of equivalent atoms:
Tb1 0.0000 0.0000 0.0000 x4  8 Lu 3.43
Gd1 0.0000 0.0000 0.5000 x4  8 Lu 3.43
Lu1 0.2500 0.2500 0.2500 x8  4 Gd 3.43, 4 Tb 3.43

Computed properties:
formation enthalpy at 0 K	0.097	eV per atom
offset from the most stable computed form	0.069	eV/atom
total magnetic moment	29.5	μB/cell
electronic total energy	-109.5	eV per cell

***

[3]
A relaxed structure of TiRhW3, computed with PBE.

Lattice parameters (Å, degrees): 4.5022 4.5022 4.5022 90.00 90.00 90.00
Closest atoms and distances in Å follow each position.
Space group Pm-3m (No. 221)
One atom of each set of equivalent atoms:
Ti1 0.0000 0.0000 0.0000 x1  6 W 2.25
Rh1 0.5000 0.5000 0.5000 x1  12 W 3.18
W1 0.0000 0.0000 0.5000 x3  2 Ti 2.25

Computed properties:
formation enthalpy at 0 K	1.887	eV per atom
offset from the most stable computed form	0.071	eV/atom
total magnetic moment	0.0	μB/cell
electronic total energy	-44.7	eV per cell

***

[4]
A relaxed structure of La2Ga3Pd12Au, computed with PBE.

Lattice parameters (Å, degrees): 9.2900 9.2900 13.2835 90.00 90.00 120.00
Closest atoms and distances in Å follow each position.
Space group R-3m (No. 166, hexagonal axes)
One atom of each set of equivalent atoms:
La1 0.0000 0.0000 0.1490 x6  3 Pd 2.67
Ga1 0.0000 0.5000 0.0000 x9  6 Pd 2.50-2.74
Pd1 0.0014 0.5007 0.8116 x18  1 Ga 2.50, 1 La 2.67, 3 Pd 2.70-2.75, 1 Au 2.71
Pd2 0.0147 0.5073 0.3914 x18  4 Pd 2.70-2.97, 2 Ga 2.74
Au1 0.0000 0.0000 0.5000 x3  6 Pd 2.71

Computed properties:
formation enthalpy at 0 K	-0.437	eV per atom
total magnetic moment	0.0	μB/cell
electronic total energy	-277.2	eV per cell

***

[5]
A relaxed structure of YTmOsAu, computed with PBE.

Lattice parameters (Å, degrees): 6.9532 6.9532 6.9532 90.00 90.00 90.00
Closest atoms and distances in Å follow each position.
Space group F-43m (No. 216)
One atom of each set of equivalent atoms:
Y1 0.0000 0.0000 0.0000 x4  4 Os 3.01, 4 Au 3.01
Tm1 0.0000 0.0000 0.5000 x4  4 Au 3.01, 4 Os 3.01
Os1 0.2500 0.2500 0.2500 x4  4 Tm 3.01, 4 Y 3.01
Au1 0.2500 0.2500 0.7500 x4  4 Tm 3.01, 4 Y 3.01

Computed properties:
formation enthalpy at 0 K	-0.499	eV per atom
total magnetic moment	0.0	μB/cell
electronic total energy	-109.8	eV per cell

***

[6]
A relaxed structure of K2Ba2Au, computed with PBE.

Lattice parameters (Å, degrees): 8.7392 8.7392 7.7061 90.00 90.00 90.00
Closest atoms and distances in Å follow each position.
Space group P4/mbm (No. 127)
One atom of each set of equivalent atoms:
K1 0.1711 0.3289 0.0000 x4  5 K 4.23-4.58, 2 Ba 4.28
Ba1 0.1775 0.6775 0.5000 x4  2 Au 3.22
Au1 0.0000 0.0000 0.5000 x2  4 Ba 3.22

Computed properties:
formation enthalpy at 0 K	-0.110	eV per atom
offset from the most stable computed form	0.192	eV/atom
total magnetic moment	0.0	μB/cell
electronic total energy	-19.7	eV per cell

***

[7]
A relaxed structure of Mn2ReTc, computed with PBE.

Lattice parameters (Å, degrees): 5.9885 5.9885 5.9885 90.00 90.00 90.00
Closest atoms and distances in Å follow each position.
Space group F-43m (No. 216)
One atom of each set of equivalent atoms:
Mn1 0.0000 0.0000 0.0000 x4  4 Mn 2.59, 4 Re 2.59
Mn2 0.2500 0.2500 0.2500 x4  4 Mn 2.59, 4 Tc 2.59
Re1 0.2500 0.2500 0.7500 x4  4 Mn 2.59, 4 Tc 2.59
Tc1 0.0000 0.0000 0.5000 x4  4 Mn 2.59, 4 Re 2.59

Computed properties:
formation enthalpy at 0 K	0.094	eV per atom
total magnetic moment	15.1	μB/cell
electronic total energy	-163.1	eV per cell

***

[8]
A relaxed structure of PrNdHg, computed with PBE.

Lattice parameters (Å, degrees): 5.2519 5.2519 3.8556 90.00 90.00 120.00
Closest atoms and distances in Å follow each position.
Space group P3m1 (No. 156)
One atom of each set of equivalent atoms:
Pr1 0.0000 0.0000 0.0000 x1  3 Hg 3.25, 3 Nd 3.45
Nd1 0.3333 0.6667 0.5739 x1  3 Hg 3.21, 3 Pr 3.45
Hg1 0.6667 0.3333 0.3043 x1  3 Nd 3.21, 3 Pr 3.25

Computed properties:
formation enthalpy at 0 K	-0.184	eV per atom
offset from the most stable computed form	0.141	eV/atom
total magnetic moment	0.0	μB/cell
electronic total energy	-10.4	eV per cell